# PBE MgMnPb2S, optimized geometry
# - DOS(E_F) (states/eV per cell) = 3.6
# - formation energy without anion corrections (meV per atom) = 196
# - uncorrected energy (eV/f.u.) = -21.3
# - crystal system = tetragonal
# - magnetic moment (μB per formula unit) = 3.69
# - E above lowest polymorph (meV/atom) = 0
# - V (A^3/atom) = 28.2
data_MgMnPb2S
_chemical_formula_sum 'Mg1 Mn1 Pb2 S1'
_space_group_name_H-M_alt 'P 4/m m m'
_space_group_IT_number 123
_space_group_name_Hall '-P 4 2'
_cell_length_a 5.716
_cell_length_b 5.716
_cell_length_c 4.321
_cell_angle_alpha 90.00
_cell_angle_beta 90.00
_cell_angle_gamma 90.00
loop_
_atom_site_label
_atom_site_type_symbol
_atom_site_fract_x
_atom_site_fract_y
_atom_site_fract_z
_atom_site_occupancy
Mg1 Mg 0.000 0.000 0.000 1
Mn1 Mn 0.500 0.500 0.000 1
Pb1 Pb 0.000 0.500 0.500 1
S1 S 0.500 0.500 0.500 1


# PBE Mg2ScMnPb, optimized geometry
# - DOS(E_F) (states/eV per cell) = 3.5
# - uncorrected energy (eV/f.u.) = -20.6
# - crystal system = tetragonal
# - magnetic moment (μB per formula unit) = 2.18
# - formation enthalpy at 0 K (meV per atom) = 356
# - V (A^3/atom) = 24.4
data_Mg2ScMnPb
_chemical_formula_sum 'Mg2 Sc1 Mn1 Pb1'
_space_group_name_H-M_alt 'P 4/m m m'
_space_group_IT_number 123
_space_group_name_Hall '-P 4 2'
_cell_length_a 5.095
_cell_length_b 5.095
_cell_length_c 4.708
_cell_angle_alpha 90.00
_cell_angle_beta 90.00
_cell_angle_gamma 90.00
loop_
_atom_site_label
_atom_site_type_symbol
_atom_site_fract_x
_atom_site_fract_y
_atom_site_fract_z
_atom_site_occupancy
Mg1 Mg 0.000 0.500 0.000 1
Sc1 Sc 0.000 0.000 0.500 1
Mn1 Mn 0.000 0.000 0.000 1
Pb1 Pb 0.500 0.500 0.500 1


Question: Number 2 is which compound?
Answer: Mg2ScMnPb